# TeMoP2 (PBE, relaxed)
data_TeMoP2
_chemical_formula_sum 'Te1 Mo1 P2'
_symmetry_space_group_name_H-M 'P 1'
_symmetry_Int_Tables_number 1
_cell_length_a 4.2739
_cell_length_b 4.2739
_cell_length_c 7.0331
_cell_angle_alpha 82.30
_cell_angle_beta 82.30
_cell_angle_gamma 44.85
loop_
_symmetry_equiv_pos_as_xyz
'x,y,z'
loop_
_atom_site_label
_atom_site_fract_x
_atom_site_fract_y
_atom_site_fract_z
P1 0.9653 0.9653 0.0529
Mo1 0.2445 0.2445 0.1577
P2 0.7752 0.7752 0.8729
Te1 0.5150 0.5150 0.4166
# formation energy from raw total energies = -0.1269 eV per atom
# space-group type = Cm
# total energy = -25.3 eV per cell